Lu2RuSe | PBE-GGA | relaxed

Cell lengths 3.398, 3.398, 7.056 Å; angles 90.00, 90.00, 90.00 degrees
Positions (direct):
Ru  0.500  0.500  0.000
Lu  0.000  0.000  0.768
Lu  0.000  0.000  0.232
Se  0.500  0.500  0.500

## Properties
- Size of the total moment: 0.00 μB/f.u.
- Volume: 81.5 Å³ per cell
- Uncorrected formation energy: -0.987 eV per atom

YSc2W | PBE-GGA | relaxed

Cell lengths 3.598, 3.598, 7.301 Å; angles 90.00, 90.00, 90.00 degrees
Positions (direct):
Sc  0.000  0.000  0.051
Sc  0.500  0.500  0.288
W  0.000  0.000  0.453
Y  0.500  0.500  0.708

## Properties
- Size of the total moment: 0.00 μB/f.u.
- Energy of formation: 0.28 eV/atom
- Volume: 94.5 Å³ per cell

Ba2Li3CdHg4 | PBE-GGA | relaxed

Cell lengths 4.934, 4.934, 11.311 Å; angles 90.00, 90.00, 90.00 degrees
Positions (direct):
Ba  0.500  0.000  0.243
Ba  0.000  0.500  0.757
Li  0.000  0.000  0.500
Li  0.500  0.000  0.893
Li  0.000  0.500  0.107
Cd  0.500  0.500  0.500
Hg  0.500  0.500  0.000
Hg  0.000  0.000  0.000
Hg  0.500  0.000  0.649
Hg  0.000  0.500  0.351

## Properties
- Size of the total moment: 0.00 μB/f.u.
- Energy of formation: -0.37 eV/atom
- Volume: 275.3 Å³ per cell